No. 1
Y3ScTl4S8 | GGA-PBE | optimized geometry

Cell: 7.963 8.807 7.963 Å, 116.90 120.00 90.00°
Positions (direct):
Tl  0.500  0.000  0.500
Tl  0.000  0.000  0.000
Tl  0.500  0.000  0.000
Tl  0.000  0.000  0.500
S  0.257  0.306  0.031
S  0.267  0.300  0.533
S  0.226  0.694  0.969
S  0.743  0.694  0.969
S  0.733  0.700  0.467
S  0.774  0.306  0.549
S  0.774  0.306  0.031
S  0.226  0.694  0.451
Y  0.500  0.500  0.000
Y  0.500  0.500  0.500
Y  0.000  0.500  0.500
Sc  0.000  0.500  0.000

Calculated values
Energy relative to the elements, uncorrected (eV/atom): -1.45

---

No. 2
AcTb2Sb | GGA-PBE | optimized geometry

Cell: 4.101 4.101 10.139 Å, 78.33 78.33 60.00°
Site moments in Bohr magnetons follow the coordinates.
Positions (direct):
Ac  0.501  0.501  0.498  0.00
Tb  0.064  0.064  0.809  0.07
Tb  0.269  0.269  0.192  -0.05
Sb  0.666  0.666  0.002  0.00

Calculated values
Energy relative to the elements, uncorrected (eV/atom): -0.39
Offset from the most stable computed form (meV/atom): 84

---

No. 3
LiSi2P3 | GGA-PBE | optimized geometry

Cell: 6.637 6.637 6.399 Å, 98.77 98.77 121.12°
Positions (direct):
P  0.701  0.550  0.384
P  0.550  0.701  0.884
P  0.039  0.244  0.382
P  0.890  0.405  0.891
P  0.405  0.890  0.391
P  0.244  0.039  0.882
Si  0.766  0.280  0.512
Si  0.408  0.581  0.508
Si  0.280  0.766  0.012
Si  0.581  0.408  0.008
Li  0.940  0.092  0.994
Li  0.092  0.940  0.494

Calculated values
Energy relative to the elements, uncorrected (eV/atom): -0.29

---

No. 4
SrLi5Hg3 | GGA-PBE | optimized geometry

Cell: 4.318 7.564 13.184 Å, 90.00 90.00 106.58°
Positions (direct):
Li  0.197  0.394  0.552
Li  0.439  0.878  0.358
Li  0.803  0.606  0.052
Li  0.803  0.606  0.448
Li  0.000  0.000  0.500
Li  0.561  0.122  0.642
Li  0.000  0.000  0.000
Li  0.197  0.394  0.948
Li  0.439  0.878  0.142
Li  0.561  0.122  0.858
Hg  0.615  0.230  0.060
Hg  0.615  0.230  0.440
Hg  0.385  0.770  0.940
Hg  0.130  0.261  0.750
Hg  0.870  0.739  0.250
Hg  0.385  0.770  0.560
Sr  0.172  0.343  0.250
Sr  0.828  0.657  0.750

Calculated values
ΔE_f (meV/atom): -304

---

No. 5
Dy2Tm8Sn | GGA-PBE | optimized geometry

Cell: 5.456 6.321 9.949 Å, 85.10 105.91 90.00°
Positions (direct):
Tm  0.846  0.804  0.693
Tm  0.422  0.598  0.843
Tm  0.154  0.196  0.307
Tm  0.578  0.402  0.157
Tm  0.955  0.267  0.911
Tm  0.662  0.876  0.323
Tm  0.338  0.124  0.677
Tm  0.045  0.733  0.089
Sn  0.500  0.000  0.000
Dy  0.756  0.335  0.512
Dy  0.244  0.665  0.488

Calculated values
ΔE_f (meV/atom): -102

---

No. 6
LiHg2Mo | GGA-PBE | optimized geometry

Cell: 4.995 2.934 4.995 Å, 90.00 90.00 90.00°
Site moments in Bohr magnetons follow the coordinates.
Positions (direct):
Mo  0.500  0.625  0.875  0.54
Hg  0.000  0.125  0.875  0.00
Hg  0.500  0.125  0.375  0.00
Li  0.000  0.625  0.375  -0.01

Calculated values
ΔE_f (meV/atom): 192
Offset from the most stable computed form (meV/atom): 0

---

No. 7
Tl2Cd3Hg5 | GGA-PBE | optimized geometry

Cell: 6.476 9.130 9.129 Å, 100.54 92.28 92.27°
Positions (direct):
Hg  0.413  0.716  0.021
Hg  0.913  0.021  0.716
Hg  0.087  0.979  0.284
Hg  0.505  0.806  0.713
Hg  0.995  0.287  0.194
Hg  0.750  0.542  0.458
Hg  0.250  0.458  0.542
Hg  0.495  0.194  0.287
Hg  0.587  0.284  0.979
Hg  0.005  0.713  0.806
Cd  0.129  0.766  0.488
Cd  0.629  0.488  0.765
Cd  0.871  0.234  0.512
Cd  0.750  0.977  0.023
Cd  0.250  0.023  0.977
Cd  0.371  0.512  0.235
Tl  0.602  0.866  0.369
Tl  0.898  0.631  0.134
Tl  0.398  0.134  0.631
Tl  0.102  0.369  0.866

Calculated values
ΔE_f (meV/atom): 5
Offset from the most stable computed form (meV/atom): 0

---

No. 8
BaBeAg | GGA-PBE | optimized geometry

Cell: 6.891 4.604 11.288 Å, 90.00 112.10 90.00°
Positions (direct):
Ba  0.723  0.500  0.706
Ba  0.277  0.500  0.294
Ba  0.723  0.000  0.206
Ba  0.277  0.000  0.794
Be  0.144  0.500  0.988
Be  0.856  0.000  0.512
Be  0.144  0.000  0.488
Be  0.856  0.500  0.012
Ag  0.500  0.000  0.500
Ag  0.500  0.500  0.000
Ag  0.000  0.500  0.500
Ag  0.000  0.000  0.000

Calculated values
ΔE_f (meV/atom): 111
Offset from the most stable computed form (meV/atom): 39